DFT (PBE-GGA) results for a geometry-optimized KGa10Ag2 structure.

Values from the calculation:
* crystal system: orthorhombic
* space-group type: Fmmm

Cell lengths 5.6399, 7.1575, 7.5538 Å; angles 81.54, 68.08, 66.80 degrees
Sites, in units of the cell vectors:
1 K 0.0000 0.0000 0.0000
2 Ga 0.0006 0.3579 0.6409
3 Ga 0.9994 0.6421 0.3591
4 Ga 0.6415 0.3579 0.3591
5 Ga 0.3585 0.6421 0.6409
6 Ga 0.5000 0.5000 0.0000
7 Ga 0.0000 0.5000 0.0000
8 Ga 0.5005 0.7798 0.2192
9 Ga 0.4995 0.2202 0.7808
10 Ga 0.7197 0.7798 0.7808
11 Ga 0.2803 0.2202 0.2192
12 Ag 0.0000 0.0000 0.5000
13 Ag 0.5000 0.0000 0.5000



DFT (PBE-GGA) results for a geometry-optimized KGaAg structure.

Values from the calculation:
* crystal system: tetragonal
* space-group type: I4mm

Cell lengths 3.7011, 3.7011, 6.5844 Å; angles 106.32, 106.32, 90.00 degrees
Sites, in units of the cell vectors:
1 K 0.0017 0.0017 0.0035
2 Ag 0.2811 0.2811 0.5622
3 Ga 0.7171 0.7171 0.4343



DFT (PBE-GGA) results for a geometry-optimized KGa2Ag5 structure.

Values from the calculation:
* crystal system: orthorhombic
* space-group type: Immm

Cell lengths 4.2601, 6.8641, 6.8641 Å; angles 68.46, 71.92, 71.92 degrees
Sites, in units of the cell vectors:
1 K 0.0000 0.0000 0.0000
2 Ga 0.7477 0.7523 0.7523
3 Ga 0.2523 0.2477 0.2477
4 Ag 0.0000 0.5000 0.5000
5 Ag 0.6501 0.5364 0.1635
6 Ag 0.3499 0.4636 0.8365
7 Ag 0.3499 0.8365 0.4636
8 Ag 0.6501 0.1635 0.5364



| no. | ΔE_f (eV/atom) | electronic total energy (eV/atom) |
| --- | --- | --- |
| 1 | -0.02 | -2.872 |
| 2 | 0.02 | -2.301 |
| 3 | 0.02 | -2.658 |